{"formula": "Cr2HgF", "functional": "PBE with a Hubbard U", "state": "relaxed", "lattice": [[-3.289, 3.289, 3.410], [3.289, -3.289, 3.410], [3.289, 3.289, -3.410]], "species": ["Cr", "Cr", "Cr", "Cr", "Hg", "Hg", "F", "F"], "fractional_positions": [[0.053, 0.125, 0.428], [0.375, 0.947, 0.072], [0.697, 0.625, 0.572], [0.875, 0.303, 0.928], [0.250, 0.750, 0.500], [0.500, 0.500, 0.000], [0.000, 0.000, 0.000], [0.750, 0.250, 0.500]], "dft_energy_ev_per_atom": -4.67, "sg": "I-42d"}